10
Lattice="-4.599 4.607 6.507 4.599 -4.607 6.507 4.599 4.607 -6.507" Properties=species:S:1:pos:R:3 comment="Ba6Na2TlNi | the Alexandria database | GGA-PBE | optimized geometry" total_magnetization_mub_per_fu=0.0 space_group="Immm, No. 71" delta_e_f_ev_per_atom=-0.02 pbc="T T T"
Ba 0.000 0.000 3.097
Ba 2.190 2.194 0.000
Ba 2.409 -2.413 6.507
Ba 2.190 7.020 0.000
Ba 0.000 0.000 9.918
Ba 2.409 2.413 6.507
Na 4.599 0.000 3.253
Na 0.000 4.607 3.255
Tl 0.000 0.000 6.507
Ni 0.000 0.000 0.000